No. 1
An optimized crystal structure of Pr5SnRu2, computed with PBE-GGA.

Cell lengths 9.051, 9.051, 9.051 Å; angles 127.50, 127.50, 77.43 degrees
Fractional coordinates of all 16 atoms:
Pr  0.000  0.000  0.000
Pr  0.027  0.527  0.821
Pr  0.206  0.027  0.500
Pr  0.294  0.794  0.821
Pr  0.473  0.294  0.500
Pr  0.500  0.500  0.000
Pr  0.527  0.706  0.500
Pr  0.706  0.206  0.179
Pr  0.794  0.973  0.500
Pr  0.973  0.473  0.179
Sn  0.250  0.250  0.000
Sn  0.750  0.750  0.000
Ru  0.140  0.360  0.500
Ru  0.360  0.860  0.219
Ru  0.640  0.140  0.781
Ru  0.860  0.640  0.500

Values from the calculation:
As for the symmetry: I4/mcm. The value obtained for the density of states at the Fermi level is 0.99 states/eV/atom. Its calculated total energy is -0.453 Ry per atom. The value obtained for the energy of formation from the pure elements is -352 meV/atom.

No. 2
An optimized crystal structure of PrSn3Ru, computed with PBE-GGA.

Cell lengths 9.823, 9.823, 9.823 Å; angles 90.00, 90.00, 90.00 degrees
Fractional coordinates of all 40 atoms:
Pr  0.000  0.000  0.000
Pr  0.000  0.250  0.500
Pr  0.000  0.750  0.500
Pr  0.250  0.500  0.000
Pr  0.500  0.000  0.250
Pr  0.500  0.000  0.750
Pr  0.500  0.500  0.500
Pr  0.750  0.500  0.000
Sn  0.000  0.315  0.156
Sn  0.000  0.315  0.844
Sn  0.000  0.685  0.156
Sn  0.000  0.685  0.844
Sn  0.156  0.000  0.315
Sn  0.156  0.000  0.685
Sn  0.185  0.500  0.344
Sn  0.185  0.500  0.656
Sn  0.315  0.156  0.000
Sn  0.315  0.844  0.000
Sn  0.344  0.185  0.500
Sn  0.344  0.815  0.500
Sn  0.500  0.344  0.185
Sn  0.500  0.344  0.815
Sn  0.500  0.656  0.185
Sn  0.500  0.656  0.815
Sn  0.656  0.185  0.500
Sn  0.656  0.815  0.500
Sn  0.685  0.156  0.000
Sn  0.685  0.844  0.000
Sn  0.815  0.500  0.344
Sn  0.815  0.500  0.656
Sn  0.844  0.000  0.315
Sn  0.844  0.000  0.685
Ru  0.250  0.250  0.250
Ru  0.250  0.250  0.750
Ru  0.250  0.750  0.250
Ru  0.250  0.750  0.750
Ru  0.750  0.250  0.250
Ru  0.750  0.250  0.750
Ru  0.750  0.750  0.250
Ru  0.750  0.750  0.750

Values from the calculation:
As for the symmetry: Pm-3n. The value obtained for the density of states at the Fermi level is 0.64 states/eV/atom. Its calculated total energy is -0.420 Ry per atom. The value obtained for the energy of formation from the pure elements is -497 meV/atom.

No. 3
An optimized crystal structure of PrSn3Ru, computed with PBE-GGA.

Cell lengths 6.110, 9.450, 8.772 Å; angles 90.00, 90.00, 90.00 degrees
Fractional coordinates of all 20 atoms:
Pr  0.001  0.250  0.030
Pr  0.499  0.750  0.530
Pr  0.501  0.250  0.470
Pr  0.999  0.750  0.970
Sn  0.002  0.250  0.388
Sn  0.250  0.078  0.750
Sn  0.250  0.422  0.750
Sn  0.250  0.578  0.250
Sn  0.250  0.922  0.250
Sn  0.498  0.750  0.888
Sn  0.502  0.250  0.112
Sn  0.750  0.078  0.750
Sn  0.750  0.422  0.750
Sn  0.750  0.578  0.250
Sn  0.750  0.922  0.250
Sn  0.998  0.750  0.612
Ru  0.000  0.000  0.500
Ru  0.000  0.500  0.500
Ru  0.500  0.000  0.000
Ru  0.500  0.500  0.000

Values from the calculation:
As for the symmetry: Pnma. The value obtained for the density of states at the Fermi level is 0.57 states/eV/atom. Its calculated total energy is -0.403 Ry per atom. The value obtained for the energy of formation from the pure elements is -273 meV/atom.

No. 4
An optimized crystal structure of Pr7Sn2Ru2, computed with PBE-GGA.

Cell lengths 10.011, 10.011, 10.011 Å; angles 157.80, 66.85, 117.85 degrees
Fractional coordinates of all 11 atoms:
Pr  0.000  0.000  0.000
Pr  0.306  0.432  0.874
Pr  0.308  0.626  0.683
Pr  0.558  0.432  0.126
Pr  0.627  0.277  0.349
Pr  0.928  0.277  0.651
Pr  0.943  0.626  0.317
Sn  0.259  0.759  0.500
Sn  0.681  0.681  0.000
Ru  0.178  0.938  0.241
Ru  0.697  0.938  0.759

Values from the calculation:
As for the symmetry: Imm2. The value obtained for the density of states at the Fermi level is 0.93 states/eV/atom. Its calculated total energy is -0.426 Ry per atom. The value obtained for the energy of formation from the pure elements is -338 meV/atom.

No. 5
An optimized crystal structure of Pr8Sn2Ru, computed with PBE-GGA.

Cell lengths 10.171, 10.171, 7.214 Å; angles 101.40, 101.40, 28.52 degrees
Fractional coordinates of all 11 atoms:
Pr  0.011  0.011  0.280
Pr  0.216  0.216  0.828
Pr  0.356  0.356  0.488
Pr  0.407  0.407  0.011
Pr  0.593  0.593  0.989
Pr  0.644  0.644  0.512
Pr  0.784  0.784  0.172
Pr  0.989  0.989  0.720
Sn  0.181  0.181  0.261
Sn  0.819  0.819  0.739
Ru  0.500  0.500  0.500

Values from the calculation:
As for the symmetry: C2/m. The value obtained for the density of states at the Fermi level is 0.95 states/eV/atom. Its calculated total energy is -0.395 Ry per atom. The value obtained for the energy of formation from the pure elements is -334 meV/atom.

No. 6
An optimized crystal structure of Pr4Sn2Ru, computed with PBE-GGA.

Cell lengths 6.276, 6.276, 9.064 Å; angles 122.16, 122.16, 45.57 degrees
Fractional coordinates of all 7 atoms:
Pr  0.068  0.068  0.357
Pr  0.333  0.333  0.951
Pr  0.667  0.667  0.049
Pr  0.932  0.932  0.643
Sn  0.338  0.338  0.328
Sn  0.662  0.662  0.672
Ru  0.000  0.000  0.000

Values from the calculation:
As for the symmetry: C2/m. The value obtained for the density of states at the Fermi level is 0.86 states/eV/atom. Its calculated total energy is -0.421 Ry per atom. The value obtained for the energy of formation from the pure elements is -527 meV/atom.

No. 7
An optimized crystal structure of Pr12Sn6Ru, computed with PBE-GGA.

Cell lengths 8.941, 8.941, 8.941 Å; angles 99.20, 99.20, 99.20 degrees
Fractional coordinates of all 19 atoms:
Pr  0.013  0.947  0.684
Pr  0.053  0.316  0.987
Pr  0.193  0.565  0.429
Pr  0.316  0.987  0.053
Pr  0.429  0.193  0.565
Pr  0.435  0.571  0.807
Pr  0.565  0.429  0.193
Pr  0.571  0.807  0.435
Pr  0.684  0.013  0.947
Pr  0.807  0.435  0.571
Pr  0.947  0.684  0.013
Pr  0.987  0.053  0.316
Sn  0.123  0.309  0.642
Sn  0.309  0.642  0.123
Sn  0.358  0.877  0.691
Sn  0.642  0.123  0.309
Sn  0.691  0.358  0.877
Sn  0.877  0.691  0.358
Ru  0.000  0.000  0.000

Values from the calculation:
As for the symmetry: R-3. The value obtained for the density of states at the Fermi level is 1.10 states/eV/atom. Its calculated total energy is -0.380 Ry per atom. The value obtained for the energy of formation from the pure elements is -399 meV/atom.

No. 8
An optimized crystal structure of Pr6SnRu2, computed with PBE-GGA.

Cell lengths 8.828, 8.828, 8.828 Å; angles 112.86, 111.26, 104.42 degrees
Fractional coordinates of all 18 atoms:
Pr  0.033  0.237  0.796
Pr  0.182  0.288  0.470
Pr  0.182  0.712  0.893
Pr  0.330  0.017  0.687
Pr  0.330  0.643  0.313
Pr  0.441  0.237  0.204
Pr  0.559  0.763  0.796
Pr  0.670  0.357  0.687
Pr  0.670  0.983  0.313
Pr  0.818  0.288  0.107
Pr  0.818  0.712  0.530
Pr  0.967  0.763  0.204
Sn  0.000  0.000  0.000
Sn  0.500  0.500  0.000
Ru  0.127  0.627  0.500
Ru  0.321  0.000  0.321
Ru  0.679  0.000  0.679
Ru  0.873  0.373  0.500

Values from the calculation:
As for the symmetry: Immm. The value obtained for the density of states at the Fermi level is 0.75 states/eV/atom. Its calculated total energy is -0.442 Ry per atom. The value obtained for the energy of formation from the pure elements is -318 meV/atom.

No. 9
An optimized crystal structure of Pr3Sn3Ru, computed with PBE-GGA.

Cell lengths 6.235, 6.235, 15.482 Å; angles 107.34, 107.34, 43.00 degrees
Fractional coordinates of all 14 atoms:
Pr  0.020  0.020  0.382
Pr  0.102  0.102  0.920
Pr  0.240  0.240  0.242
Pr  0.760  0.760  0.758
Pr  0.898  0.898  0.080
Pr  0.980  0.980  0.618
Sn  0.346  0.346  0.465
Sn  0.380  0.380  0.924
Sn  0.471  0.471  0.764
Sn  0.529  0.529  0.236
Sn  0.620  0.620  0.076
Sn  0.654  0.654  0.535
Ru  0.257  0.257  0.616
Ru  0.743  0.743  0.384

Values from the calculation:
As for the symmetry: C2/m. The value obtained for the density of states at the Fermi level is 0.98 states/eV/atom. Its calculated total energy is -0.421 Ry per atom. The value obtained for the energy of formation from the pure elements is -637 meV/atom.

No. 10
An optimized crystal structure of PrSn3Ru2, computed with PBE-GGA.

Cell lengths 6.411, 6.411, 7.490 Å; angles 90.00, 90.00, 120.00 degrees
Fractional coordinates of all 12 atoms:
Pr  0.333  0.667  0.151
Pr  0.667  0.333  0.849
Sn  0.168  0.336  0.766
Sn  0.168  0.832  0.766
Sn  0.336  0.168  0.234
Sn  0.664  0.832  0.766
Sn  0.832  0.168  0.234
Sn  0.832  0.664  0.234
Ru  0.000  0.000  0.500
Ru  0.000  0.500  0.500
Ru  0.500  0.000  0.500
Ru  0.500  0.500  0.500

Values from the calculation:
As for the symmetry: P-3m1. The value obtained for the density of states at the Fermi level is 0.83 states/eV/atom. Its calculated total energy is -0.444 Ry per atom. The value obtained for the energy of formation from the pure elements is -145 meV/atom.

No. 11
An optimized crystal structure of PrSn3Ru2, computed with PBE-GGA.

Cell lengths 9.174, 9.174, 10.646 Å; angles 104.13, 104.13, 27.32 degrees
Fractional coordinates of all 18 atoms:
Pr  0.000  0.000  0.000
Pr  0.145  0.145  0.688
Pr  0.855  0.855  0.312
Sn  0.053  0.053  0.348
Sn  0.229  0.229  0.372
Sn  0.349  0.349  0.078
Sn  0.363  0.363  0.817
Sn  0.500  0.500  0.500
Sn  0.637  0.637  0.183
Sn  0.651  0.651  0.922
Sn  0.771  0.771  0.628
Sn  0.947  0.947  0.652
Ru  0.204  0.204  0.091
Ru  0.359  0.359  0.561
Ru  0.492  0.492  0.229
Ru  0.508  0.508  0.771
Ru  0.641  0.641  0.439
Ru  0.796  0.796  0.909

Values from the calculation:
As for the symmetry: C2/m. The value obtained for the density of states at the Fermi level is 0.74 states/eV/atom. Its calculated total energy is -0.453 Ry per atom. The value obtained for the energy of formation from the pure elements is -275 meV/atom.

No. 12
An optimized crystal structure of Pr4Sn8Ru, computed with PBE-GGA.

Cell lengths 4.525, 4.620, 17.081 Å; angles 90.00, 90.00, 90.00 degrees
Fractional coordinates of all 13 atoms:
Pr  0.000  0.000  0.000
Pr  0.000  0.500  0.488
Pr  0.500  0.000  0.789
Pr  0.500  0.500  0.293
Sn  0.000  0.000  0.329
Sn  0.000  0.000  0.627
Sn  0.000  0.500  0.145
Sn  0.000  0.500  0.853
Sn  0.500  0.000  0.149
Sn  0.500  0.000  0.452
Sn  0.500  0.500  0.626
Sn  0.500  0.500  0.968
Ru  0.000  0.500  0.701

Values from the calculation:
As for the symmetry: Pmm2. The value obtained for the density of states at the Fermi level is 0.64 states/eV/atom. Its calculated total energy is -0.384 Ry per atom. The value obtained for the energy of formation from the pure elements is -583 meV/atom.